[1]
Compound: In3Pb
Source: Alexandria
Functional: SCAN
Structure: single point on PBEsol structure

abc: 3.8916 3.8916 6.9868
angles: 90.00 90.00 90.00
With the nearest neighbours (Å) after each atom.
Sites, in units of the cell vectors:
Pb (0.5000, 0.5000, 0.5000)  10 In 3.30-3.49
In (0.0000, 0.0000, 0.7619)  5 In 3.22-3.33, 4 Pb 3.30
In (0.5000, 0.5000, 0.0000)  8 In 3.22, 2 Pb 3.49
In (0.0000, 0.0000, 0.2381)  5 In 3.22-3.33, 4 Pb 3.30

Symmetry ... P4/mmm
Formation enthalpy at 0 K ... 0.079 eV/atom

[2]
Compound: BeZnCl2
Source: Alexandria
Functional: SCAN
Structure: single point on PBEsol structure

abc: 3.2224 3.2224 8.0377
angles: 78.44 78.44 60.00
With the nearest neighbours (Å) after each atom.
Sites, in units of the cell vectors:
Be (0.2523, 0.2523, 0.2430)  3 Cl 2.18
Zn (0.5063, 0.5063, 0.4810)  3 Cl 2.42, 3 Be 2.63
Cl (0.9674, 0.9674, 0.0978)  3 Be 2.18
Cl (0.7739, 0.7739, 0.6782)  3 Zn 2.42

Total DFT energy (no corrections) ... -36.55 eV for the cell shown
Symmetry ... R3m

[3]
Compound: AlCuCl4
Source: Alexandria
Functional: SCAN
Structure: single point on PBEsol structure

abc: 5.7476 5.7476 5.7476
angles: 60.00 60.00 60.00
With the nearest neighbours (Å) after each atom.
Sites, in units of the cell vectors:
Al (0.0000, 0.0000, 0.0000)  12 Cl 3.37, 4 Cu 3.52
Cu (0.7500, 0.7500, 0.7500)  12 Cl 3.37, 4 Al 3.52
Cl (0.3754, 0.3754, 0.3754)  6 Cl 2.86-2.88
Cl (0.3754, 0.3754, 0.8738)  6 Cl 2.86-2.88
Cl (0.8738, 0.3754, 0.3754)  6 Cl 2.86-2.88
Cl (0.3754, 0.8738, 0.3754)  6 Cl 2.86-2.88

Total DFT energy (no corrections) ... -50.88 eV for the cell shown
Symmetry ... F-43m

[4]
Compound: KInI2Cl
Source: Alexandria
Functional: SCAN
Structure: single point on PBEsol structure

abc: 5.3158 5.9894 5.9894
angles: 90.00 90.00 90.00
With the nearest neighbours (Å) after each atom.
Sites, in units of the cell vectors:
I (0.0000, 0.0000, 0.5000)  2 In 2.99
I (0.0000, 0.5000, 0.0000)  2 In 2.99
K (0.5000, 0.5000, 0.5000)  8 I 4.00, 4 Cl 4.24
In (0.0000, 0.0000, 0.0000)  2 Cl 2.66
Cl (0.5000, 0.0000, 0.0000)  2 In 2.66

Total DFT energy (no corrections) ... -128.58 eV for the cell shown
Symmetry ... P4/mmm

[5]
Compound: K2Cd2H
Source: Alexandria
Functional: SCAN
Structure: single point on PBEsol structure

abc: 5.9025 5.9025 5.9025
angles: 109.17 109.17 110.07
With the nearest neighbours (Å) after each atom.
Sites, in units of the cell vectors:
H (0.0000, 0.0000, 0.0000)  2 Cd 1.98
K (0.2500, 0.7500, 0.5000)  2 K 3.38, 4 Cd 3.43
K (0.7500, 0.2500, 0.5000)  2 K 3.38, 4 Cd 3.43
Cd (0.2932, 0.2932, 0.0000)  1 H 1.98
Cd (0.7068, 0.7068, 0.0000)  1 H 1.98

Total DFT energy (no corrections) ... -79.79 eV for the cell shown
Symmetry ... I4/mmm

[6]
Compound: AlTcNi2
Source: Alexandria
Functional: SCAN
Structure: single point on PBEsol structure

abc: 2.8544 2.8543 5.8766
angles: 90.00 90.00 90.00
With the nearest neighbours (Å) after each atom.
Sites, in units of the cell vectors:
Ni (0.0000, 0.0000, 0.0010)  4 Al 2.41, 4 Ni 2.46
Ni (0.5000, 0.5000, 0.2413)  4 Tc 2.46, 4 Ni 2.46, 1 Al 2.73
Tc (0.0000, 0.0000, 0.4806)  4 Ni 2.46, 4 Al 2.67
Al (0.5000, 0.5000, 0.7771)  4 Ni 2.41, 4 Tc 2.67

Symmetry ... P4mm
Formation enthalpy at 0 K ... -0.263 eV/atom

[7]
Compound: Li2AlAg
Source: Alexandria
Functional: SCAN
Structure: single point on PBEsol structure

abc: 2.9900 4.6927 4.8917
angles: 107.01 107.80 90.00
With the nearest neighbours (Å) after each atom.
Sites, in units of the cell vectors:
Al (0.2446, 0.7028, 0.4893)  3 Ag 2.64-2.70, 6 Li 2.74-2.83
Ag (0.4990, 0.5430, 0.9981)  3 Al 2.64-2.70, 6 Li 2.74-2.82
Li (0.9994, 0.0336, 0.9987)  3 Li 2.66-2.73, 4 Ag 2.74-2.82, 2 Al 2.83
Li (0.7569, 0.2206, 0.5138)  3 Li 2.66-2.73, 2 Ag 2.74, 4 Al 2.74-2.83

Symmetry ... Cm
Formation enthalpy at 0 K ... -0.205 eV/atom

[8]
Compound: Bi2PO6
Source: Alexandria
Functional: SCAN
Structure: single point on PBEsol structure

abc: 5.6434 5.6714 7.6792
angles: 90.00 111.56 90.00
With the nearest neighbours (Å) after each atom.
Sites, in units of the cell vectors:
Bi (0.8366, 0.5000, 0.6733)  8 O 2.31-2.55
Bi (0.6634, 0.0000, 0.3267)  8 O 2.31-2.55
Bi (0.1634, 0.5000, 0.3267)  8 O 2.31-2.55
Bi (0.3366, 0.0000, 0.6733)  8 O 2.31-2.55
P (0.0000, 0.0000, 0.0000)  4 O 1.55
P (0.5000, 0.5000, 0.0000)  4 O 1.55
O (0.2194, 0.1507, 0.1363)  1 P 1.55
O (0.7806, 0.1507, 0.8637)  1 P 1.55
O (0.4169, 0.6507, 0.1363)  1 P 1.55
O (0.0831, 0.8493, 0.8637)  1 P 1.55
O (0.7194, 0.3493, 0.1363)  1 P 1.55
O (0.0000, 0.7361, 0.5000)  4 Bi 2.31-2.40
O (0.0000, 0.2361, 0.5000)  4 Bi 2.31-2.40
O (0.2806, 0.3493, 0.8637)  1 P 1.55
O (0.9169, 0.8493, 0.1363)  1 P 1.55
O (0.5831, 0.6507, 0.8637)  1 P 1.55
O (0.5000, 0.7639, 0.5000)  4 Bi 2.31-2.40
O (0.5000, 0.2639, 0.5000)  4 Bi 2.31-2.40

Total DFT energy (no corrections) ... -438.54 eV for the cell shown
Symmetry ... Ccce

Per-record Fermi-level density of states, states/eV/cell: 2.1 0.0 0.7 1.0 2.5 3.1 1.2 10.2
Per-record total magnetization, μB per formula unit: 0.00 0.00 2.01 0.00 0.00 0.00 0.01 0.57